First-principles (GGA+U) data for crystalline CsMoO at its relaxed geometry, as listed in Alexandria.

Output
Total magnetic moment ... 3.50 μB/cell
Relative energy among the computed polymorphs ... 0.18 eV per formula unit

Cell: 4.004 4.953 4.731 Å, 90.00 90.00 90.00°
Fractional positions:
Mo (0.500, 0.500, 0.500)
Cs (0.000, 0.000, 0.000)
O (0.000, 0.500, 0.500)